1.
{"formula": "La2ZrAs3Ir4", "functional": "PBE", "state": "optimized geometry", "cell": [[4.197, 0.000, 0.000], [0.000, 4.197, 0.000], [0.000, 0.000, 11.130]], "species": ["La", "La", "Zr", "As", "As", "As", "Ir", "Ir", "Ir", "Ir"], "fractional_positions": [[0.000, 0.500, 0.232], [0.500, 0.000, 0.768], [0.000, 0.000, 0.500], [0.000, 0.500, 0.869], [0.500, 0.000, 0.131], [0.500, 0.500, 0.500], [0.000, 0.000, 0.000], [0.000, 0.500, 0.646], [0.500, 0.000, 0.354], [0.500, 0.500, 0.000]], "dos_at_fermi_per_ev_atom": 0.53, "space_group": "P-4m2, No. 115", "ef_ev_per_atom": -0.834}

=====

2.
{"formula": "LiAs2Ir", "functional": "PBE", "state": "optimized geometry", "cell": [[0.000, 3.122, 3.122], [3.122, 0.000, 3.122], [3.122, 3.122, 0.000]], "species": ["Li", "As", "As", "Ir"], "fractional_positions": [[0.000, 0.000, 0.000], [0.500, 0.500, 0.500], [0.750, 0.750, 0.750], [0.250, 0.250, 0.250]], "dos_at_fermi_per_ev_atom": 0.15, "space_group": "F-43m, No. 216", "ef_ev_per_atom": 0.101}